(1)
Y2ScAl2Pd5 | PBE | optimized geometry

Lattice parameters (Å, degrees): 10.0767 10.0767 3.6603 90.00 90.00 90.00
Element x y z (fractional)
Y  0.1760  0.3240  0.0000
Y  0.3240  0.8240  0.0000
Y  0.6760  0.1760  0.0000
Y  0.8240  0.6760  0.0000
Sc  0.0000  0.0000  0.0000
Sc  0.5000  0.5000  0.0000
Al  0.1216  0.6216  0.0000
Al  0.3784  0.1216  0.0000
Al  0.6216  0.8784  0.0000
Al  0.8784  0.3784  0.0000
Pd  0.0000  0.5000  0.5000
Pd  0.0641  0.7905  0.5000
Pd  0.2095  0.0641  0.5000
Pd  0.2905  0.5641  0.5000
Pd  0.4359  0.2905  0.5000
Pd  0.5000  0.0000  0.5000
Pd  0.5641  0.7095  0.5000
Pd  0.7095  0.4359  0.5000
Pd  0.7905  0.9359  0.5000
Pd  0.9359  0.2095  0.5000

Computed properties:
Its total magnetic moment is 0.00 μB/f.u. The calculated density is 7.2 Mg/m³. As for the formation energy: -8.609 eV per formula unit. Its electronic total energy is -6.132 eV/atom.

---

(2)
GeH4 | PBE | optimized geometry

Lattice parameters (Å, degrees): 3.5559 3.5559 3.5559 90.00 90.00 90.00
Element x y z (fractional)
Ge  0.0000  0.0000  0.0000
H  0.0000  0.0000  0.5000
H  0.0000  0.5000  0.0000
H  0.5000  0.0000  0.0000
H  0.5000  0.5000  0.5000

Computed properties:
Its total magnetic moment is 0.85 μB/f.u. The calculated density is 2.8 Mg/m³. Its electronic total energy is -2.933 eV/atom.

---

(3)
CaEr4Si4 | PBE | optimized geometry

Lattice parameters (Å, degrees): 9.2607 9.2607 5.6706 90.00 90.00 90.00
Element x y z (fractional)
Ca  0.2500  0.2500  0.2500
Ca  0.7500  0.7500  0.7500
Er  0.1084  0.6348  0.1282
Er  0.1348  0.8916  0.6282
Er  0.3652  0.6084  0.6282
Er  0.3916  0.8652  0.1282
Er  0.6084  0.1348  0.8718
Er  0.6348  0.3916  0.3718
Er  0.8652  0.1084  0.3718
Er  0.8916  0.3652  0.8718
Si  0.0512  0.5879  0.6368
Si  0.0879  0.9488  0.1368
Si  0.4121  0.5512  0.1368
Si  0.4488  0.9121  0.6368
Si  0.5512  0.0879  0.3632
Si  0.5879  0.4488  0.8632
Si  0.9121  0.0512  0.8632
Si  0.9488  0.4121  0.3632

Computed properties:
Its total magnetic moment is 0.00 μB/f.u. The calculated density is 5.6 Mg/m³. The calculation puts the uncorrected formation energy at -0.495 eV/atom. Its electronic total energy is -5.155 eV/atom.

---

(4)
Pm8ErTm4 | PBE | optimized geometry

Lattice parameters (Å, degrees): 10.4542 10.4542 10.4542 40.37 40.37 40.37
Element x y z (fractional)
Pm  0.2083  0.7511  0.7511
Pm  0.2125  0.2125  0.2125
Pm  0.2489  0.2489  0.7917
Pm  0.2489  0.7917  0.2489
Pm  0.7511  0.2083  0.7511
Pm  0.7511  0.7511  0.2083
Pm  0.7875  0.7875  0.7875
Pm  0.7917  0.2489  0.2489
Er  0.5000  0.5000  0.5000
Tm  0.0000  0.0000  0.0000
Tm  0.0000  0.5000  0.5000
Tm  0.5000  0.0000  0.5000
Tm  0.5000  0.5000  0.0000

Computed properties:
Its total magnetic moment is 0.00 μB/f.u. The calculated density is 7.7 Mg/m³. As for the formation energy: 2.626 eV per formula unit. Its electronic total energy is -4.448 eV/atom.

---

(5)
La8CoIr2Ru | PBE | optimized geometry

Lattice parameters (Å, degrees): 6.7032 8.5406 6.8018 90.00 90.25 90.00
Element x y z (fractional)
La  0.2157  0.2462  0.1704
La  0.2157  0.7538  0.1704
La  0.2759  0.0000  0.6781
La  0.2767  0.5000  0.6745
La  0.7233  0.5000  0.3255
La  0.7241  0.0000  0.3219
La  0.7843  0.2462  0.8296
La  0.7843  0.7538  0.8296
Co  0.0000  0.0000  0.0000
Ir  0.5000  0.2481  0.5000
Ir  0.5000  0.7519  0.5000
Ru  0.0000  0.5000  0.0000

Computed properties:
Its total magnetic moment is 0.00 μB/f.u. The calculated density is 7.1 Mg/m³. As for the formation energy: -4.837 eV per formula unit. Its electronic total energy is -6.530 eV/atom.

---

(6)
LiGaSn | PBE | optimized geometry

Lattice parameters (Å, degrees): 6.4608 6.8079 7.0533 106.18 96.04 116.75
Element x y z (fractional)
Li  0.0000  0.0000  0.0000
Li  0.0882  0.6327  0.6567
Li  0.2719  0.1513  0.6663
Li  0.7799  0.1131  0.6389
Ga  0.2719  0.3553  0.3665
Ga  0.4908  0.0253  0.9248
Ga  0.5487  0.6776  0.7187
Ga  0.8374  0.2954  0.2813
Sn  0.2590  0.4962  0.0121
Sn  0.3740  0.9731  0.2960
Sn  0.7683  0.4956  0.9336
Sn  0.7945  0.7155  0.3722

Computed properties:
Its total magnetic moment is 0.00 μB/f.u. The calculated density is 5.1 Mg/m³. As for the formation energy: -0.422 eV per formula unit. Its electronic total energy is -3.122 eV/atom.

---

(7)
MgCdBi | PBE | optimized geometry

Lattice parameters (Å, degrees): 5.5368 5.5368 5.5368 136.42 136.42 63.34
Element x y z (fractional)
Mg  0.0000  0.0000  0.0000
Cd  0.3259  0.3259  0.0000
Bi  0.6602  0.6602  0.0000

Computed properties:
Its total magnetic moment is 0.00 μB/f.u. The calculated density is 7.2 Mg/m³. As for the formation energy: 0.001 eV per formula unit. Its electronic total energy is -2.130 eV/atom. The polymorph energy (0 for the lowest one) comes out at 63.5 meV per atom.

---

(8)
HfB2N | PBE | optimized geometry

Lattice parameters (Å, degrees): 4.7081 4.7081 4.7081 111.72 111.72 105.07
Element x y z (fractional)
Hf  0.0000  0.0000  0.0000
Hf  0.7500  0.2500  0.5000
B  0.2397  0.1250  0.6147
B  0.3750  0.7603  0.8853
B  0.5103  0.6250  0.3853
B  0.8750  0.4897  0.1147
N  0.2500  0.7500  0.5000
N  0.5000  0.5000  0.0000

Computed properties:
Its total magnetic moment is 0.00 μB/f.u. The calculated density is 8.9 Mg/m³. The calculation puts the uncorrected formation energy at 0.231 eV/atom. Its electronic total energy is -7.678 eV/atom.